# 1
# Sr4Te2I3 | the Alexandria database | PBE | relaxed
# * formation energy without anion corrections: -1585 meV per atom
# * DOS(E_F): 5.47 states/eV per cell
data_Sr4Te2I3
_cell_length_a 8.279
_cell_length_b 4.780
_cell_length_c 19.033
_cell_angle_alpha 90.00
_cell_angle_beta 90.07
_cell_angle_gamma 90.00
_space_group_name_H-M_alt 'C 1 2/m 1'
_space_group_IT_number 12
_space_group_name_Hall '-C 2y'
loop_
_atom_site_label
_atom_site_type_symbol
_atom_site_fract_x
_atom_site_fract_y
_atom_site_fract_z
_atom_site_occupancy
Sr1 Sr 0.001 0.000 0.301 1
Sr2 Sr 0.166 0.500 0.895 1
Te1 Te 0.167 0.500 0.200 1
I1 I 0.000 0.000 0.000 1
I2 I 0.166 0.500 0.603 1


# 2
# SrTe2I | the Alexandria database | PBE | relaxed
# * formation energy without anion corrections: -355 meV per atom
# * DOS(E_F): 40.68 states/eV per cell
# * excess energy over the best structure of this formula in the dataset: 263.9 meV/atom
data_SrTe2I
_cell_length_a 8.206
_cell_length_b 8.206
_cell_length_c 8.206
_cell_angle_alpha 90.00
_cell_angle_beta 90.00
_cell_angle_gamma 90.00
_space_group_name_H-M_alt 'F m -3 m'
_space_group_IT_number 225
_space_group_name_Hall '-F 4 2 3'
loop_
_atom_site_label
_atom_site_type_symbol
_atom_site_fract_x
_atom_site_fract_y
_atom_site_fract_z
_atom_site_occupancy
Sr1 Sr 0.000 0.000 0.000 1
Te1 Te 0.250 0.250 0.250 1
I1 I 0.000 0.000 0.500 1


# 3
# Sr5Te4I | the Alexandria database | PBE | relaxed
# * formation energy without anion corrections: -1637 meV per atom
# * DOS(E_F): 5.85 states/eV per cell
data_Sr5Te4I
_cell_length_a 10.598
_cell_length_b 10.598
_cell_length_c 6.690
_cell_angle_alpha 90.00
_cell_angle_beta 90.00
_cell_angle_gamma 90.00
_space_group_name_H-M_alt 'I 4/m'
_space_group_IT_number 87
_space_group_name_Hall '-I 4'
loop_
_atom_site_label
_atom_site_type_symbol
_atom_site_fract_x
_atom_site_fract_y
_atom_site_fract_z
_atom_site_occupancy
Sr1 Sr 0.000 0.000 0.000 1
Sr2 Sr 0.102 0.312 0.500 1
Te1 Te 0.104 0.297 0.000 1
I1 I 0.000 0.000 0.500 1


# 4
# Sr2Te2I | the Alexandria database | PBE | relaxed
# * formation energy without anion corrections: -1111 meV per atom
# * DOS(E_F): 4.59 states/eV per cell
# * excess energy over the best structure of this formula in the dataset: 253.9 meV/atom
data_Sr2Te2I
_cell_length_a 5.160
_cell_length_b 5.160
_cell_length_c 16.921
_cell_angle_alpha 90.00
_cell_angle_beta 90.00
_cell_angle_gamma 90.00
_space_group_name_H-M_alt 'I 4/m m m'
_space_group_IT_number 139
_space_group_name_Hall '-I 4 2'
loop_
_atom_site_label
_atom_site_type_symbol
_atom_site_fract_x
_atom_site_fract_y
_atom_site_fract_z
_atom_site_occupancy
Sr1 Sr 0.000 0.000 0.136 1
Te1 Te 0.000 0.500 0.250 1
I1 I 0.000 0.000 0.500 1


# 5
# SrTe3I | the Alexandria database | PBE | relaxed
# * formation energy without anion corrections: -87 meV per atom
# * DOS(E_F): 3.02 states/eV per cell
# * excess energy over the best structure of this formula in the dataset: 0.0 meV/atom
data_SrTe3I
_cell_length_a 5.875
_cell_length_b 5.875
_cell_length_c 5.875
_cell_angle_alpha 90.00
_cell_angle_beta 90.00
_cell_angle_gamma 90.00
_space_group_name_H-M_alt 'P m -3 m'
_space_group_IT_number 221
_space_group_name_Hall '-P 4 2 3'
loop_
_atom_site_label
_atom_site_type_symbol
_atom_site_fract_x
_atom_site_fract_y
_atom_site_fract_z
_atom_site_occupancy
Sr1 Sr 0.000 0.000 0.000 1
Te1 Te 0.000 0.500 0.500 1
I1 I 0.500 0.500 0.500 1


# 6
# SrTe2I | the Alexandria database | PBE | relaxed
# * formation energy without anion corrections: -619 meV per atom
# * DOS(E_F): 21.73 states/eV per cell
# * excess energy over the best structure of this formula in the dataset: 0.0 meV/atom
data_SrTe2I
_cell_length_a 5.2400
_cell_length_b 5.2400
_cell_length_c 26.0490
_cell_angle_alpha 90.00
_cell_angle_beta 90.00
_cell_angle_gamma 120.00
_space_group_name_H-M_alt 'R -3 m'
_space_group_IT_number 166
_space_group_name_Hall '-R 3 2"'
loop_
_atom_site_label
_atom_site_type_symbol
_atom_site_fract_x
_atom_site_fract_y
_atom_site_fract_z
_atom_site_occupancy
Sr1 Sr 0.0000 0.0000 0.0000 1
Te1 Te 0.0000 0.0000 0.3871 1
I1 I 0.0000 0.0000 0.5000 1


# 7
# SrTeI | the Alexandria database | PBE | relaxed
# * formation energy without anion corrections: -1345 meV per atom
# * DOS(E_F): 0.00 states/eV per cell
data_SrTeI
_cell_length_a 8.138
_cell_length_b 5.739
_cell_length_c 11.443
_cell_angle_alpha 90.00
_cell_angle_beta 95.64
_cell_angle_gamma 90.00
_space_group_name_H-M_alt 'C 1 2/m 1'
_space_group_IT_number 12
_space_group_name_Hall '-C 2y'
loop_
_atom_site_label
_atom_site_type_symbol
_atom_site_fract_x
_atom_site_fract_y
_atom_site_fract_z
_atom_site_occupancy
Sr1 Sr 0.208 0.000 0.286 1
Te1 Te 0.097 0.500 0.405 1
I1 I 0.176 0.000 0.853 1


# 8
# Sr4Te3I2 | the Alexandria database | PBE | relaxed
# * formation energy without anion corrections: -1696 meV per atom
# * DOS(E_F): 0.00 states/eV per cell
data_Sr4Te3I2
_cell_length_a 15.878
_cell_length_b 4.738
_cell_length_c 11.954
_cell_angle_alpha 90.00
_cell_angle_beta 120.84
_cell_angle_gamma 90.00
_space_group_name_H-M_alt 'C 1 2/m 1'
_space_group_IT_number 12
_space_group_name_Hall '-C 2y'
loop_
_atom_site_label
_atom_site_type_symbol
_atom_site_fract_x
_atom_site_fract_y
_atom_site_fract_z
_atom_site_occupancy
Sr1 Sr 0.103 0.000 0.404 1
Sr2 Sr 0.212 0.500 0.788 1
Te1 Te 0.000 0.500 0.500 1
Te2 Te 0.195 0.500 0.303 1
I1 I 0.113 0.000 0.889 1


# 9
# SrTe2I | the Alexandria database | PBE | relaxed
# * formation energy without anion corrections: -365 meV per atom
# * DOS(E_F): 2.12 states/eV per cell
# * excess energy over the best structure of this formula in the dataset: 254.5 meV/atom
data_SrTe2I
_cell_length_a 6.262
_cell_length_b 6.262
_cell_length_c 19.129
_cell_angle_alpha 90.00
_cell_angle_beta 90.00
_cell_angle_gamma 90.00
_space_group_name_H-M_alt 'I -4 2 d'
_space_group_IT_number 122
_space_group_name_Hall 'I -4 2bw'
loop_
_atom_site_label
_atom_site_type_symbol
_atom_site_fract_x
_atom_site_fract_y
_atom_site_fract_z
_atom_site_occupancy
Sr1 Sr 0.000 0.000 0.000 1
Te1 Te 0.231 0.250 0.625 1
I1 I 0.000 0.000 0.500 1


# 10
# SrTe2I2 | the Alexandria database | PBE | relaxed
# * formation energy without anion corrections: -867 meV per atom
# * DOS(E_F): 2.57 states/eV per cell
data_SrTe2I2
_cell_length_a 4.216
_cell_length_b 4.216
_cell_length_c 25.763
_cell_angle_alpha 90.00
_cell_angle_beta 90.00
_cell_angle_gamma 90.00
_space_group_name_H-M_alt 'I 4/m m m'
_space_group_IT_number 139
_space_group_name_Hall '-I 4 2'
loop_
_atom_site_label
_atom_site_type_symbol
_atom_site_fract_x
_atom_site_fract_y
_atom_site_fract_z
_atom_site_occupancy
Sr1 Sr 0.000 0.000 0.000 1
Te1 Te 0.000 0.500 0.250 1
I1 I 0.000 0.000 0.426 1


# 11
# SrTe2I8 | the Alexandria database | PBE | relaxed
# * formation energy without anion corrections: -389 meV per atom
# * DOS(E_F): 15.18 states/eV per cell
# * excess energy over the best structure of this formula in the dataset: 0.0 meV/atom
data_SrTe2I8
_cell_length_a 14.076
_cell_length_b 10.089
_cell_length_c 8.844
_cell_angle_alpha 90.00
_cell_angle_beta 119.47
_cell_angle_gamma 90.00
_space_group_name_H-M_alt 'C 1 2/m 1'
_space_group_IT_number 12
_space_group_name_Hall '-C 2y'
loop_
_atom_site_label
_atom_site_type_symbol
_atom_site_fract_x
_atom_site_fract_y
_atom_site_fract_z
_atom_site_occupancy
Sr1 Sr 0.000 0.000 0.000 1
Te1 Te 0.150 0.000 0.574 1
I1 I 0.050 0.203 0.762 1
I2 I 0.153 0.500 0.123 1
I3 I 0.248 0.500 0.636 1


# 12
# Sr2TeI2 | the Alexandria database | PBE | relaxed
# * formation energy without anion corrections: -1546 meV per atom
# * DOS(E_F): 0.00 states/eV per cell
data_Sr2TeI2
_cell_length_a 11.969
_cell_length_b 12.598
_cell_length_c 6.465
_cell_angle_alpha 90.00
_cell_angle_beta 117.76
_cell_angle_gamma 90.00
_space_group_name_H-M_alt 'C 1 2/c 1'
_space_group_IT_number 15
_space_group_name_Hall '-C 2yc'
loop_
_atom_site_label
_atom_site_type_symbol
_atom_site_fract_x
_atom_site_fract_y
_atom_site_fract_z
_atom_site_occupancy
Sr1 Sr 0.000 0.115 0.250 1
Sr2 Sr 0.000 0.373 0.750 1
Te1 Te 0.000 0.365 0.250 1
I1 I 0.174 0.108 0.962 1